Compound: GeN
Source: Alexandria
Functional: PBE
Structure: optimized geometry

Properties
D(E_F)   2.0 states/eV per cell
Total magnetization   0.000 μB per formula unit
Polymorph energy (0 for the lowest one)   0.363 eV per atom
Formation energy (no corrections)   1.0 eV per formula unit

a b c (Å): 5.155 5.155 3.956
angles (deg): 90.00 90.00 90.00
Positions (direct):
Ge (0.699, 0.699, 0.000)
Ge (0.199, 0.801, 0.500)
Ge (0.801, 0.199, 0.500)
Ge (0.301, 0.301, 0.000)
N (0.696, 0.304, 0.000)
N (0.196, 0.196, 0.500)
N (0.304, 0.696, 0.000)
N (0.804, 0.804, 0.500)